(1)
Tb2HCl | GGA-PBE | relaxed

Computed properties:
E = -4.47 eV per atom

a b c (Å): 7.320 7.320 7.320
angles (deg): 28.34 28.34 28.34
Fractional coordinates of all 4 atoms:
Tb: 0.230 0.230 0.230
Tb: 0.770 0.770 0.770
H: 0.500 0.500 0.500
Cl: 0.000 0.000 0.000

(2)
DyTiGa4 | GGA-PBE | relaxed

Computed properties:
Energy relative to the lowest polymorph listed for this composition = 0.00 eV per formula unit

a b c (Å): 5.476 5.476 5.476
angles (deg): 133.48 105.78 92.29
Fractional coordinates of all 6 atoms:
Dy: 0.000 0.000 0.000
Ti: 0.500 0.000 0.500
Ga: 0.101 0.336 0.766
Ga: 0.430 0.664 0.766
Ga: 0.570 0.336 0.234
Ga: 0.899 0.664 0.234

(3)
Tl3SnAs | GGA-PBE | relaxed

Computed properties:
Energy relative to the lowest polymorph listed for this composition = 1.96 eV per formula unit

a b c (Å): 5.509 5.509 5.509
angles (deg): 90.00 90.00 90.00
Fractional coordinates of all 5 atoms:
Tl: 0.000 0.000 0.500
Tl: 0.000 0.500 0.000
Tl: 0.500 0.000 0.000
Sn: 0.500 0.500 0.500
As: 0.000 0.000 0.000